1) The following is a PBE with a Hubbard U calculation of a relaxed NiAuF3 crystal, from the Alexandria database.

Results
calculated volume: 13.0 Å³ per atom
space group: No. 221
crystal system: cubic
spin magnetization: 2.0 Bohr magnetons per cell

Lattice parameters (Å, degrees): 4.024 4.024 4.024 90.00 90.00 90.00
Each line ends with the local moment (μB).
Atoms (fractional coordinates):
1 F 0.000 0.500 0.000  0.05
2 F 0.500 0.000 0.000  0.05
3 F 0.000 0.000 0.500  0.03
4 Au 0.500 0.500 0.500  0.00
5 Ni 0.000 0.000 0.000  1.85

2) The following is a PBE with a Hubbard U calculation of a relaxed NiAuF3 crystal, from the Alexandria database.

Results
calculated volume: 17.2 Å³ per atom
space group: No. 221
crystal system: cubic
spin magnetization: 1.6 Bohr magnetons per cell

Lattice parameters (Å, degrees): 4.410 4.410 4.410 90.00 90.00 90.00
Each line ends with the local moment (μB).
Atoms (fractional coordinates):
1 F 0.500 0.000 0.000  0.00
2 F 0.000 0.500 0.000  0.01
3 F 0.000 0.000 0.500  0.01
4 Au 0.000 0.000 0.000  -0.01
5 Ni 0.500 0.500 0.500  1.53

Most stable structure, least stable structure: 1), 2).

1) The following is a PBE with a Hubbard U calculation of a relaxed Ni3AuF crystal, from the Alexandria database.

Results
calculated volume: 22.6 Å³ per atom
space group: No. 221
crystal system: cubic
spin magnetization: 4.6 Bohr magnetons per cell

Lattice parameters (Å, degrees): 4.835 4.835 4.835 90.00 90.00 90.00
Each line ends with the local moment (μB).
Atoms (fractional coordinates):
1 Ni 0.000 0.000 0.500  1.79
2 Ni 0.000 0.500 0.000  1.67
3 Ni 0.500 0.000 0.000  1.41
4 F 0.500 0.500 0.500  -0.07
5 Au 0.000 0.000 0.000  0.03

2) The following is a PBE with a Hubbard U calculation of a relaxed Ni3AuF crystal, from the Alexandria database.

Results
calculated volume: 13.6 Å³ per atom
space group: No. 221
crystal system: cubic
spin magnetization: 2.8 Bohr magnetons per cell

Lattice parameters (Å, degrees): 4.080 4.080 4.080 90.00 90.00 90.00
Each line ends with the local moment (μB).
Atoms (fractional coordinates):
1 F 0.000 0.000 0.000  0.03
2 Ni 0.000 0.000 0.500  1.06
3 Ni 0.500 0.000 0.000  0.94
4 Ni 0.000 0.500 0.000  0.95
5 Au 0.500 0.500 0.500  -0.01

Most stable structure, least stable structure: 2), 1).